Entry 1:
Density functional theory data (PBE) for an optimized crystal structure of HfMg2Pt9.

Computed properties:
size of the total moment	0.00	μB/atom
N(E_F)	0.9906	states/eV per atom
calculated formation energy	-786	meV per atom
crystal system	tetragonal
mass density	17.36	g/cm3

Unit cell a=3.987 b=3.987 c=11.928 alpha=90.00 beta=90.00 gamma=90.00
Element x y z (fractional)
Pt (0.500, 0.000, 0.832)
Pt (0.500, 0.500, 0.666)
Pt (0.000, 0.500, 0.832)
Pt (0.500, 0.000, 0.168)
Pt (0.500, 0.500, 0.000)
Pt (0.500, 0.000, 0.500)
Pt (0.000, 0.500, 0.500)
Pt (0.000, 0.500, 0.168)
Pt (0.500, 0.500, 0.334)
Mg (0.000, 0.000, 0.337)
Mg (0.000, 0.000, 0.663)
Hf (0.000, 0.000, 0.000)

=====

Entry 2:
Density functional theory data (PBE) for an optimized crystal structure of SmYPa4.

Computed properties:
size of the total moment	0.00	μB/atom
N(E_F)	2.7112	states/eV per atom
calculated formation energy	239	meV per atom
crystal system	cubic
mass density	11.60	g/cm3

Unit cell a=6.175 b=6.175 c=6.175 alpha=60.00 beta=60.00 gamma=60.00
Element x y z (fractional)
Pa (0.125, 0.625, 0.625)
Pa (0.625, 0.625, 0.125)
Pa (0.625, 0.125, 0.625)
Pa (0.625, 0.625, 0.625)
Y (0.000, 0.000, 0.000)
Sm (0.250, 0.250, 0.250)

=====

Entry 3:
Density functional theory data (PBE) for an optimized crystal structure of La2BeHg.

Computed properties:
size of the total moment	0.00	μB/atom
N(E_F)	1.1721	states/eV per atom
calculated formation energy	94	meV per atom
crystal system	monoclinic
mass density	6.79	g/cm3

Unit cell a=4.692 b=4.692 c=7.616 alpha=78.60 beta=78.60 gamma=46.71
Element x y z (fractional)
Be (0.750, 0.750, 0.750)
Hg (0.250, 0.250, 0.250)
La (0.009, 0.009, 0.960)
La (0.491, 0.491, 0.540)

=====

Entry 4:
Density functional theory data (PBE) for an optimized crystal structure of CsRu3O.

Computed properties:
size of the total moment	1.37	μB/atom
N(E_F)	1.4541	states/eV per atom
crystal system	cubic
energy relative to the elements, uncorrected	1577	kJ/mol of formula units
mass density	6.04	g/cm3

Unit cell a=4.992 b=4.992 c=4.992 alpha=90.00 beta=90.00 gamma=90.00
Each line ends with the local moment (μB).
Element x y z (fractional)
Cs (0.000, 0.000, 0.000)  0.00
Ru (0.500, 0.000, 0.000)  1.86
Ru (0.000, 0.500, 0.000)  2.03
Ru (0.000, 0.000, 0.500)  1.64
O (0.500, 0.500, 0.500)  1.04

=====

Entry 5:
Density functional theory data (PBE) for an optimized crystal structure of Be2AsPb.

Computed properties:
size of the total moment	0.00	μB/atom
N(E_F)	0.5474	states/eV per atom
calculated formation energy	565	meV per atom
crystal system	orthorhombic
mass density	6.66	g/cm3

Unit cell a=3.431 b=3.431 c=7.064 alpha=90.00 beta=90.00 gamma=115.82
Element x y z (fractional)
Pb (0.500, 0.500, 0.250)
Be (0.000, 0.000, 0.936)
Be (0.000, 0.000, 0.564)
As (0.500, 0.500, 0.750)

=====

Entry 6:
Density functional theory data (PBE) for an optimized crystal structure of Tb2SmSn2Hg2.

Computed properties:
size of the total moment	0.00	μB/atom
N(E_F)	0.7297	states/eV per atom
calculated formation energy	-339	meV per atom
crystal system	trigonal
mass density	9.50	g/cm3

Unit cell a=4.993 b=4.993 c=9.410 alpha=74.61 beta=74.61 gamma=60.00
Element x y z (fractional)
Tb (0.869, 0.869, 0.393)
Tb (0.131, 0.131, 0.607)
Sm (0.000, 0.000, 0.000)
Hg (0.568, 0.568, 0.297)
Hg (0.432, 0.432, 0.703)
Sn (0.270, 0.270, 0.191)
Sn (0.730, 0.730, 0.809)

=====

Entry 7:
Density functional theory data (PBE) for an optimized crystal structure of HgTeMo2Pt.

Computed properties:
size of the total moment	0.89	μB/atom
N(E_F)	1.0585	states/eV per atom
crystal system	tetragonal
energy relative to the elements, uncorrected	593	kJ/mol of formula units
mass density	9.40	g/cm3

Unit cell a=4.974 b=5.103 c=4.974 alpha=90.00 beta=90.00 gamma=90.00
Each line ends with the local moment (μB).
Element x y z (fractional)
Mo (0.000, 0.000, 0.500)  1.93
Mo (0.500, 0.000, 0.000)  2.02
Pt (0.000, 0.000, 0.000)  -0.01
Hg (0.000, 0.500, 0.000)  -0.03
Te (0.500, 0.500, 0.500)  -0.10

=====

Entry 8:
Density functional theory data (PBE) for an optimized crystal structure of Ho2HfTe6.

Computed properties:
size of the total moment	0.00	μB/atom
N(E_F)	0.9588	states/eV per atom
crystal system	tetragonal
energy relative to the elements, uncorrected	-734	kJ/mol of formula units
mass density	6.48	g/cm3

Unit cell a=7.106 b=7.106 c=12.939 alpha=90.00 beta=90.00 gamma=90.00
Element x y z (fractional)
Te (0.213, 0.787, 0.500)
Te (0.787, 0.213, 0.500)
Te (0.800, 0.200, 0.843)
Te (0.200, 0.800, 0.843)
Te (0.200, 0.800, 0.157)
Te (0.287, 0.287, 0.000)
Te (0.300, 0.300, 0.343)
Te (0.300, 0.300, 0.657)
Te (0.700, 0.700, 0.657)
Te (0.713, 0.713, 0.000)
Te (0.700, 0.700, 0.343)
Te (0.800, 0.200, 0.157)
Hf (0.500, 0.500, 0.500)
Hf (0.000, 0.000, 0.000)
Ho (0.000, 0.000, 0.331)
Ho (0.000, 0.000, 0.669)
Ho (0.500, 0.500, 0.831)
Ho (0.500, 0.500, 0.169)

=====

Entry 9:
Density functional theory data (PBE) for an optimized crystal structure of SrTb4Pr8.

Computed properties:
size of the total moment	0.00	μB/atom
N(E_F)	1.4822	states/eV per atom
calculated formation energy	80	meV per atom
crystal system	triclinic
mass density	6.50	g/cm3

Unit cell a=6.276 b=7.016 c=16.893 alpha=120.13 beta=79.25 gamma=61.93
Element x y z (fractional)
Sr (0.000, 0.000, 0.000)
Pr (0.630, 0.191, 0.680)
Pr (0.104, 0.866, 0.749)
Pr (0.623, 0.757, 0.091)
Pr (0.370, 0.809, 0.320)
Pr (0.157, 0.474, 0.385)
Pr (0.896, 0.134, 0.251)
Pr (0.843, 0.526, 0.615)
Pr (0.377, 0.243, 0.909)
Tb (0.867, 0.528, 0.825)
Tb (0.612, 0.160, 0.463)
Tb (0.388, 0.840, 0.537)
Tb (0.133, 0.472, 0.175)

=====

Entry 10:
Density functional theory data (PBE) for an optimized crystal structure of CeScTeAs.

Computed properties:
size of the total moment	0.20	μB/atom
N(E_F)	1.7087	states/eV per atom
crystal system	trigonal
energy relative to the elements, uncorrected	-497	kJ/mol of formula units
mass density	6.11	g/cm3

Unit cell a=4.091 b=4.091 c=7.645 alpha=90.00 beta=105.52 gamma=119.99
Each line ends with the local moment (μB).
Element x y z (fractional)
Te (0.980, 0.388, 0.383)  -0.01
Sc (0.493, 0.144, 0.653)  -0.02
Ce (0.113, 0.954, 0.083)  0.75
As (0.292, 0.544, 0.851)  -0.01

=====

Entry 11:
Density functional theory data (PBE) for an optimized crystal structure of Cd2MoP.

Computed properties:
size of the total moment	0.00	μB/atom
N(E_F)	0.7172	states/eV per atom
calculated formation energy	228	meV per atom
crystal system	orthorhombic
mass density	7.57	g/cm3

Unit cell a=5.765 b=5.765 c=5.765 alpha=147.14 beta=131.53 gamma=59.80
Element x y z (fractional)
Mo (0.462, 0.462, 0.000)
P (0.297, 0.797, 0.500)
Cd (0.016, 0.016, 0.000)
Cd (0.725, 0.225, 0.500)

=====

Entry 12:
Density functional theory data (PBE) for an optimized crystal structure of Sc3GaO.

Computed properties:
size of the total moment	0.00	μB/atom
N(E_F)	0.6641	states/eV per atom
crystal system	monoclinic
energy relative to the elements, uncorrected	-683	kJ/mol of formula units
mass density	4.23	g/cm3

Unit cell a=7.636 b=3.237 c=7.818 alpha=78.02 beta=67.81 gamma=77.75
Element x y z (fractional)
O (0.596, 0.014, 0.213)
O (0.403, 0.398, 0.637)
Ga (0.837, 0.625, 0.748)
Ga (0.162, 0.787, 0.102)
Sc (0.500, 0.206, 0.925)
Sc (0.805, 0.456, 0.119)
Sc (0.000, 0.206, 0.425)
Sc (0.384, 0.557, 0.339)
Sc (0.194, 0.955, 0.731)
Sc (0.616, 0.855, 0.511)

=====

Which formula does entry 8 have? Ho2HfTe6